Entry 1:
## ZnSbRhI2 (PBE)

Data for ZnSbRhI2 after structural relaxation.

spin magnetization = 0.00 μB per formula unit
V = 158 Å³/cell
ΔE to the lowest computed polymorph = 0 meV/atom
DOS(E_F) = 2.79 states/eV/f.u.

```
ZnSbRhI2
1.0
-0.444 -5.360 -1.645
5.106 -1.068 2.103
-2.058 -1.180 4.398
I Sb Rh Zn
2 1 1 1
direct
0.500 0.000 0.000
0.000 0.500 0.000
0.000 0.000 0.500
0.000 0.000 0.000
0.500 0.500 0.500
```



Entry 2:
## ZnSb2RhI (PBE)

Data for ZnSb2RhI after structural relaxation.

spin magnetization = 0.00 μB per formula unit
V = 150 Å³/cell
ΔE to the lowest computed polymorph = 0 meV/atom
DOS(E_F) = 4.33 states/eV/f.u.

```
ZnSb2RhI
1.0
-0.926 -2.190 -4.526
4.683 1.300 -1.587
2.056 -4.980 1.988
Rh I Zn Sb
1 1 1 2
direct
0.000 0.000 0.000
0.000 0.000 0.500
0.500 0.500 0.500
0.000 0.500 0.000
0.500 0.000 0.000
```



Entry 3:
## ZrSb2RhI (PBE)

Data for ZrSb2RhI after structural relaxation.

spin magnetization = 1.43 μB per formula unit
V = 171 Å³/cell
ΔE to the lowest computed polymorph = 347 meV/atom
DOS(E_F) = 8.67 states/eV/f.u.

```
ZrSb2RhI
1.0
-3.170 -1.632 4.240
-0.088 -5.147 -2.047
4.578 -1.248 2.942
Sb Zr Rh I
2 1 1 1
direct
0.000 0.500 0.000
0.500 0.000 0.000
0.000 0.000 0.000
0.500 0.500 0.500
0.000 0.000 0.500
```



Entry 4:
## ZrSb2RhI (PBE)

Data for ZrSb2RhI after structural relaxation.

spin magnetization = 0.26 μB per formula unit
V = 139 Å³/cell
ΔE to the lowest computed polymorph = 0 meV/atom
DOS(E_F) = 5.33 states/eV/f.u.

```
ZrSb2RhI
1.0
5.117 0.000 0.000
0.000 5.117 0.000
0.000 0.000 5.301
I Rh Sb Zr
1 1 2 1
direct
0.000 0.000 0.500
0.000 0.000 0.000
0.000 0.500 0.000
0.500 0.000 0.000
0.500 0.500 0.500
```



Entry 5:
## Sc4RhI5 (PBE)

Data for Sc4RhI5 after structural relaxation.

spin magnetization = 1.25 μB per formula unit
V = 309 Å³/cell
final energy = -0.370 Ry/atom
DOS(E_F) = 6.84 states/eV/f.u.

```
Sc4RhI5
1.0
-3.945 -0.305 -0.353
0.766 -0.140 -8.449
2.477 -8.953 2.426
I Sc Rh
5 4 1
direct
0.500 0.500 0.000
0.172 0.834 0.345
0.834 0.666 0.669
0.828 0.166 0.655
0.166 0.334 0.331
0.001 0.202 0.002
0.637 0.069 0.274
0.999 0.798 0.998
0.363 0.931 0.726
0.500 0.000 0.000
```



Entry 6:
## ScRh3I (PBE)

Data for ScRh3I after structural relaxation.

spin magnetization = 1.06 μB per formula unit
V = 108 Å³/cell
ΔE to the lowest computed polymorph = 196 meV/atom
DOS(E_F) = 6.08 states/eV/f.u.

```
ScRh3I
1.0
4.758 0.000 0.000
0.000 4.758 0.000
0.000 0.000 4.758
I Rh Sc
1 3 1
direct
0.500 0.500 0.500
0.500 0.000 0.000
0.000 0.500 0.000
0.000 0.000 0.500
0.000 0.000 0.000
```



Entry 7:
## Sc3RhI (PBE)

Data for Sc3RhI after structural relaxation.

spin magnetization = 0.00 μB per formula unit
V = 132 Å³/cell
ΔE to the lowest computed polymorph = 0 meV/atom
DOS(E_F) = 5.14 states/eV/f.u.

```
Sc3RhI
1.0
5.098 0.000 0.000
0.000 5.098 0.000
0.000 0.000 5.098
Rh Sc I
1 3 1
direct
0.000 0.000 0.000
0.000 0.000 0.500
0.500 0.000 0.000
0.000 0.500 0.000
0.500 0.500 0.500
```



Entry 8:
## ScRhI3 (PBE)

Data for ScRhI3 after structural relaxation.

spin magnetization = 1.04 μB per formula unit
V = 184 Å³/cell
ΔE to the lowest computed polymorph = 77 meV/atom
DOS(E_F) = 28.09 states/eV/f.u.

```
ScRhI3
1.0
-5.269 1.934 -0.950
-2.145 -4.477 2.786
0.199 2.937 4.873
I Sc Rh
3 1 1
direct
0.000 0.500 0.000
0.000 0.000 0.500
0.500 0.000 0.000
0.000 0.000 0.000
0.500 0.500 0.500
```



Entry 9:
## Sc4RhI2 (PBE)

Data for Sc4RhI2 after structural relaxation.

spin magnetization = 0.00 μB per formula unit
V = 195 Å³/cell
final energy = -0.397 Ry/atom
DOS(E_F) = 4.53 states/eV/f.u.

```
Sc4RhI2
1.0
5.118 0.000 0.000
0.000 5.118 0.000
2.559 2.559 7.453
Sc I Rh
4 2 1
direct
0.000 0.500 0.000
0.835 0.835 0.330
0.500 0.000 0.000
0.165 0.165 0.670
0.363 0.363 0.275
0.637 0.637 0.725
0.000 0.000 0.000
```



Entry 10:
## ScRhI3 (PBE)

Data for ScRhI3 after structural relaxation.

spin magnetization = 1.12 μB per formula unit
V = 156 Å³/cell
ΔE to the lowest computed polymorph = 0 meV/atom
DOS(E_F) = 9.71 states/eV/f.u.

```
ScRhI3
1.0
5.380 0.000 0.000
0.000 5.380 0.000
0.000 0.000 5.380
Rh Sc I
1 1 3
direct
0.000 0.000 0.000
0.500 0.500 0.500
0.000 0.500 0.000
0.000 0.000 0.500
0.500 0.000 0.000
```



Entry 11:
## ScRh3I (PBE)

Data for ScRh3I after structural relaxation.

spin magnetization = 0.00 μB per formula unit
V = 111 Å³/cell
ΔE to the lowest computed polymorph = 0 meV/atom
DOS(E_F) = 8.05 states/eV/f.u.

```
ScRh3I
1.0
4.808 0.000 0.000
0.000 4.808 0.000
0.000 0.000 4.808
Rh Sc I
3 1 1
direct
0.500 0.000 0.000
0.000 0.000 0.500
0.000 0.500 0.000
0.500 0.500 0.500
0.000 0.000 0.000
```



Entry 12:
## Sc2Rh2I (PBE)

Data for Sc2Rh2I after structural relaxation.

spin magnetization = 0.00 μB per formula unit
V = 117 Å³/cell
final energy = -0.467 Ry/atom
DOS(E_F) = 2.80 states/eV/f.u.

```
Sc2Rh2I
1.0
-1.805 0.220 -3.503
-0.674 -3.887 0.103
-7.810 -0.603 1.763
Sc Rh I
2 2 1
direct
0.360 0.360 0.280
0.640 0.640 0.720
0.750 0.250 0.500
0.250 0.750 0.500
0.000 0.000 0.000
```



Entry 13:
## ScSnRh2I (PBE)

Data for ScSnRh2I after structural relaxation.

spin magnetization = 0.00 μB per formula unit
V = 132 Å³/cell
final energy = -0.347 Ry/atom
DOS(E_F) = 4.96 states/eV/f.u.

```
ScSnRh2I
1.0
4.922 0.000 0.000
0.000 5.451 0.000
0.000 0.000 4.922
Rh Sn I Sc
2 1 1 1
direct
0.500 0.000 0.000
0.000 0.000 0.500
0.000 0.000 0.000
0.500 0.500 0.500
0.000 0.500 0.000
```



Entry 14:
## ScTe2RhI (PBE)

Data for ScTe2RhI after structural relaxation.

spin magnetization = 2.28 μB per formula unit
V = 171 Å³/cell
ΔE to the lowest computed polymorph = 323 meV/atom
DOS(E_F) = 8.32 states/eV/f.u.

```
ScTe2RhI
1.0
-1.308 2.594 -4.720
-4.944 -2.506 -0.007
-2.147 4.228 2.919
Te Sc I Rh
2 1 1 1
direct
0.000 0.500 0.000
0.500 0.000 0.000
0.000 0.000 0.000
0.000 0.000 0.500
0.500 0.500 0.500
```



Entry 15:
## ScTe2RhI (PBE)

Data for ScTe2RhI after structural relaxation.

spin magnetization = 0.00 μB per formula unit
V = 145 Å³/cell
ΔE to the lowest computed polymorph = 0 meV/atom
DOS(E_F) = 2.22 states/eV/f.u.

```
ScTe2RhI
1.0
-2.864 4.336 -0.931
-0.817 -1.605 -4.962
-4.305 -2.517 1.523
I Te Rh Sc
1 2 1 1
direct
0.000 0.000 0.500
0.000 0.500 0.000
0.500 0.000 0.000
0.000 0.000 0.000
0.500 0.500 0.500
```



Entry 16:
## RhSe2I (PBE)

Data for RhSe2I after structural relaxation.

spin magnetization = 0.00 μB per formula unit
V = 216 Å³/cell
ΔE to the lowest computed polymorph = 65 meV/atom
DOS(E_F) = 1.06 states/eV/f.u.

```
RhSe2I
1.0
6.939 -0.036 -0.060
-3.212 5.892 0.009
-0.908 3.317 5.299
Rh Se I
2 4 2
direct
0.234 0.748 0.244
0.234 0.246 0.244
0.962 0.782 0.401
0.447 0.000 0.451
0.111 0.265 0.584
0.366 0.235 0.898
0.584 0.759 0.070
0.967 0.478 0.013
```



Entry 17:
## RhSe2I (PBE)

Data for RhSe2I after structural relaxation.

spin magnetization = 0.00 μB per formula unit
V = 462 Å³/cell
ΔE to the lowest computed polymorph = 122 meV/atom
DOS(E_F) = 1.67 states/eV/f.u.

```
RhSe2I
1.0
6.868 0.000 0.000
0.000 12.102 0.000
0.000 0.000 5.557
Se I Rh
8 4 4
direct
0.840 0.022 0.032
0.274 0.351 0.691
0.660 0.522 0.532
0.226 0.851 0.191
0.726 0.649 0.191
0.774 0.149 0.691
0.340 0.478 0.032
0.160 0.978 0.532
0.165 0.677 0.667
0.835 0.323 0.167
0.335 0.177 0.167
0.665 0.823 0.667
0.979 0.129 0.359
0.479 0.371 0.359
0.521 0.629 0.859
0.021 0.871 0.859
```



Entry 18:
## RhSe2I4 (PBE)

Data for RhSe2I4 after structural relaxation.

spin magnetization = 0.00 μB per formula unit
V = 233 Å³/cell
final energy = -0.196 Ry/atom
DOS(E_F) = 8.61 states/eV/f.u.

```
RhSe2I4
1.0
5.694 0.000 0.000
0.000 5.694 0.000
2.847 2.847 7.175
I Se Rh
4 2 1
direct
0.815 0.815 0.371
0.000 0.500 0.000
0.500 0.000 0.000
0.185 0.185 0.629
0.417 0.417 0.165
0.583 0.583 0.835
0.000 0.000 0.000
```



Entry 19:
## RhSe2I (PBE)

Data for RhSe2I after structural relaxation.

spin magnetization = 0.00 μB per formula unit
V = 184 Å³/cell
ΔE to the lowest computed polymorph = 357 meV/atom
DOS(E_F) = 2.30 states/eV/f.u.

```
RhSe2I
1.0
5.540 0.000 0.000
0.000 5.540 0.000
2.770 2.770 6.009
Se I Rh
4 2 2
direct
0.705 0.705 0.589
0.045 0.545 0.911
0.455 0.955 0.089
0.295 0.295 0.411
0.000 0.000 0.000
0.750 0.250 0.500
0.500 0.500 0.000
0.250 0.750 0.500
```



Entry 20:
## RhSe2I (PBE)

Data for RhSe2I after structural relaxation.

spin magnetization = 0.00 μB per formula unit
V = 225 Å³/cell
ΔE to the lowest computed polymorph = 48 meV/atom
DOS(E_F) = 2.19 states/eV/f.u.

```
RhSe2I
1.0
-3.417 -0.621 1.011
-0.348 -7.168 0.929
5.417 3.289 7.398
Se Rh I
4 2 2
direct
0.622 0.482 0.163
0.908 0.319 0.368
0.813 0.962 0.093
0.984 0.171 0.869
0.555 0.932 0.820
0.244 0.216 0.152
0.171 0.631 0.784
0.252 0.935 0.517
```



Entry 21:
## RhSe2I (PBE)

Data for RhSe2I after structural relaxation.

spin magnetization = 0.00 μB per formula unit
V = 165 Å³/cell
ΔE to the lowest computed polymorph = 1001 meV/atom
DOS(E_F) = 3.55 states/eV/f.u.

```
RhSe2I
1.0
7.049 0.000 0.000
0.000 7.049 0.000
3.525 3.525 3.311
Rh Se I
2 4 2
direct
0.750 0.750 0.500
0.250 0.250 0.500
0.750 0.250 0.000
0.250 0.750 0.000
0.750 0.750 0.000
0.250 0.250 0.000
0.250 0.750 0.500
0.750 0.250 0.500
```



Entry 22:
## RhSe2I (PBE)

Data for RhSe2I after structural relaxation.

spin magnetization = 0.00 μB per formula unit
V = 104 Å³/cell
ΔE to the lowest computed polymorph = 578 meV/atom
DOS(E_F) = 3.69 states/eV/f.u.

```
RhSe2I
1.0
-9.725 -2.799 8.331
-8.302 -0.783 10.113
-10.336 0.171 8.060
Se I Rh
2 1 1
direct
0.939 0.939 0.939
0.061 0.061 0.061
0.500 0.500 0.500
0.000 0.000 0.000
```



Entry 23:
## RhSe2I (PBE)

Data for RhSe2I after structural relaxation.

spin magnetization = 0.00 μB per formula unit
V = 962 Å³/cell
ΔE to the lowest computed polymorph = 216 meV/atom
DOS(E_F) = 2.24 states/eV/f.u.

```
RhSe2I
1.0
-13.557 -2.569 6.115
-7.657 2.092 -5.504
1.936 -4.637 -8.249
I Se Rh
8 16 8
direct
0.549 0.728 0.174
0.049 0.326 0.772
0.885 0.835 0.743
0.451 0.272 0.826
0.385 0.757 0.665
0.115 0.165 0.257
0.615 0.243 0.335
0.951 0.674 0.228
0.960 0.161 0.429
0.250 0.398 0.898
0.250 0.702 0.202
0.040 0.839 0.571
0.750 0.298 0.798
0.696 0.337 0.072
0.637 0.157 0.765
0.460 0.071 0.339
0.804 0.572 0.837
0.137 0.735 0.343
0.863 0.265 0.657
0.304 0.663 0.928
0.540 0.929 0.661
0.750 0.602 0.102
0.196 0.428 0.163
0.363 0.843 0.235
0.130 0.682 0.903
0.370 0.403 0.182
0.746 0.379 0.334
0.870 0.318 0.097
0.754 0.834 0.879
0.246 0.166 0.121
0.630 0.597 0.818
0.254 0.621 0.666
```



Entry 24:
## RhSe2I (PBE)

Data for RhSe2I after structural relaxation.

spin magnetization = 0.00 μB per formula unit
V = 249 Å³/cell
ΔE to the lowest computed polymorph = 292 meV/atom
DOS(E_F) = 4.86 states/eV/f.u.

```
RhSe2I
1.0
-6.084 -6.863 -0.575
4.938 -4.882 6.019
-2.111 -4.694 4.940
I Rh Se
2 2 4
direct
0.750 0.750 0.500
0.250 0.250 0.500
0.250 0.750 0.500
0.750 0.250 0.500
0.143 0.643 0.000
0.357 0.143 0.000
0.857 0.357 0.000
0.643 0.857 0.000
```



Entry 25:
## RhSe2I (PBE)

Data for RhSe2I after structural relaxation.

spin magnetization = 0.00 μB per formula unit
V = 278 Å³/cell
ΔE to the lowest computed polymorph = 152 meV/atom
DOS(E_F) = 1.03 states/eV/f.u.

```
RhSe2I
1.0
11.536 0.000 0.420
3.901 6.198 -1.803
-3.901 6.198 1.803
Rh I Se
2 2 4
direct
0.250 0.750 0.250
0.750 0.250 0.750
0.250 0.146 0.646
0.750 0.854 0.354
0.425 0.612 0.148
0.075 0.648 0.112
0.575 0.388 0.852
0.925 0.352 0.888
```